An optimized crystal structure of YNb2Co2. Source: Alexandria via LeMat-Bulk, functional PBE-GGA.

```
YNb2Co2
1.0
7.721 0.000 0.000
0.000 7.721 0.000
0.000 0.000 2.809
Y Nb Co
2 4 4
direct
0.000 0.000 0.000 Y
0.500 0.500 0.000 Y
0.143 0.357 0.000 Nb
0.357 0.857 0.000 Nb
0.643 0.143 0.000 Nb
0.857 0.643 0.000 Nb
0.148 0.648 0.500 Co
0.352 0.148 0.500 Co
0.648 0.852 0.500 Co
0.852 0.352 0.500 Co
```

Calculated values
Its space-group type is P4/mbm, No. 127. The value obtained for the polymorph energy (0 for the lowest one) is 240 meV/atom.

An optimized crystal structure of YNbCo3. Source: Alexandria via LeMat-Bulk, functional PBE-GGA.

```
YNbCo3
1.0
4.530 0.000 0.000
0.000 4.530 0.000
0.000 0.000 4.530
Y Nb Co
1 1 3
direct
0.000 0.000 0.000 Y
0.500 0.500 0.500 Nb
0.000 0.000 0.500 Co
0.000 0.500 0.000 Co
0.500 0.000 0.000 Co
```

Calculated values
Its space-group type is Pm-3m, No. 221.

| no. | ΔE_f (eV/atom) |
| --- | --- |
| 1 | 0.1222 |
| 2 | 1.6591 |